(1)
First-principles (PBE) data for a relaxed structure of Pr3GeI3, as listed in the Alexandria database.

Cell and atoms, written as CIF:
```
data_Pr3GeI3
_symmetry_space_group_name_H-M 'P 1'
_symmetry_Int_Tables_number 1
_cell_length_a 7.711
_cell_length_b 7.711
_cell_length_c 10.021
_cell_angle_alpha 104.99
_cell_angle_beta 104.99
_cell_angle_gamma 105.03
loop_
_symmetry_equiv_pos_as_xyz
'x,y,z'
loop_
_atom_site_label
_atom_site_type_symbol
_atom_site_fract_x
_atom_site_fract_y
_atom_site_fract_z
I1 I 0.667 0.333 0.000
I2 I 0.333 0.667 0.000
I3 I 0.604 0.604 0.371
I4 I 0.167 0.833 0.500
I5 I 0.396 0.396 0.629
I6 I 0.833 0.167 0.500
Pr1 Pr 0.486 0.854 0.794
Pr2 Pr 0.831 0.831 0.170
Pr3 Pr 0.854 0.486 0.794
Pr4 Pr 0.146 0.514 0.206
Pr5 Pr 0.169 0.169 0.830
Pr6 Pr 0.514 0.146 0.206
Ge1 Ge 0.120 0.120 0.118
Ge2 Ge 0.880 0.880 0.882
```

Calculated values
formation energy from raw total energies	-0.76	eV per atom
magnetization	0.00	μB per cell
energy relative to the lowest polymorph listed for this composition	451	meV per atom
calculated density	5586	kg/m³

---

(2)
First-principles (PBE) data for a relaxed structure of PrGe2I8, as listed in the Alexandria database.

Cell and atoms, written as CIF:
```
data_PrGe2I8
_symmetry_space_group_name_H-M 'P 1'
_symmetry_Int_Tables_number 1
_cell_length_a 7.807
_cell_length_b 8.998
_cell_length_c 8.998
_cell_angle_alpha 81.16
_cell_angle_beta 79.72
_cell_angle_gamma 79.72
loop_
_symmetry_equiv_pos_as_xyz
'x,y,z'
loop_
_atom_site_label
_atom_site_type_symbol
_atom_site_fract_x
_atom_site_fract_y
_atom_site_fract_z
Pr1 Pr 0.000 0.000 0.000
I1 I 0.847 0.616 0.616
I2 I 0.153 0.384 0.384
I3 I 0.213 0.913 0.276
I4 I 0.288 0.794 0.794
I5 I 0.787 0.724 0.087
I6 I 0.712 0.206 0.206
I7 I 0.213 0.276 0.913
I8 I 0.787 0.087 0.724
Ge1 Ge 0.660 0.805 0.805
Ge2 Ge 0.340 0.195 0.195
```

Calculated values
formation energy from raw total energies	-0.61	eV per atom
magnetization	0.00	μB per cell
calculated density	3560	kg/m³

---

(3)
First-principles (PBE) data for a relaxed structure of Pr4Ge2I3, as listed in the Alexandria database.

Cell and atoms, written as CIF:
```
data_Pr4Ge2I3
_symmetry_space_group_name_H-M 'P 1'
_symmetry_Int_Tables_number 1
_cell_length_a 4.402
_cell_length_b 4.402
_cell_length_c 19.188
_cell_angle_alpha 90.04
_cell_angle_beta 89.96
_cell_angle_gamma 120.00
loop_
_symmetry_equiv_pos_as_xyz
'x,y,z'
loop_
_atom_site_label
_atom_site_type_symbol
_atom_site_fract_x
_atom_site_fract_y
_atom_site_fract_z
Ge1 Ge 0.667 0.333 0.800
Ge2 Ge 0.333 0.667 0.200
I1 I 0.000 0.000 0.000
I2 I 0.334 0.666 0.605
I3 I 0.666 0.334 0.395
Pr1 Pr 0.333 0.667 0.880
Pr2 Pr 0.999 0.001 0.288
Pr3 Pr 0.667 0.333 0.120
Pr4 Pr 0.001 0.999 0.712
```

Calculated values
formation energy from raw total energies	-1.15	eV per atom
magnetization	0.00	μB per cell
calculated density	5620	kg/m³

---

(4)
First-principles (PBE) data for a relaxed structure of Pr2GeI3, as listed in the Alexandria database.

Cell and atoms, written as CIF:
```
data_Pr2GeI3
_symmetry_space_group_name_H-M 'P 1'
_symmetry_Int_Tables_number 1
_cell_length_a 4.823
_cell_length_b 10.034
_cell_length_c 10.939
_cell_angle_alpha 73.60
_cell_angle_beta 77.26
_cell_angle_gamma 76.09
loop_
_symmetry_equiv_pos_as_xyz
'x,y,z'
loop_
_atom_site_label
_atom_site_type_symbol
_atom_site_fract_x
_atom_site_fract_y
_atom_site_fract_z
Pr1 Pr 0.133 0.517 0.216
Pr2 Pr 0.394 0.781 0.431
Pr3 Pr 0.606 0.219 0.569
Pr4 Pr 0.867 0.483 0.784
Ge1 Ge 0.442 0.497 0.620
Ge2 Ge 0.558 0.503 0.380
I1 I 0.664 0.671 0.001
I2 I 0.336 0.329 0.999
I3 I 0.233 0.157 0.378
I4 I 0.959 0.860 0.222
I5 I 0.041 0.140 0.778
I6 I 0.767 0.843 0.622
```

Calculated values
formation energy from raw total energies	-1.11	eV per atom
magnetization	0.00	μB per cell
calculated density	5021	kg/m³

---

(5)
First-principles (PBE) data for a relaxed structure of Pr4GeI4, as listed in the Alexandria database.

Cell and atoms, written as CIF:
```
data_Pr4GeI4
_symmetry_space_group_name_H-M 'P 1'
_symmetry_Int_Tables_number 1
_cell_length_a 7.517
_cell_length_b 7.517
_cell_length_c 8.242
_cell_angle_alpha 117.13
_cell_angle_beta 117.13
_cell_angle_gamma 90.00
loop_
_symmetry_equiv_pos_as_xyz
'x,y,z'
loop_
_atom_site_label
_atom_site_type_symbol
_atom_site_fract_x
_atom_site_fract_y
_atom_site_fract_z
Pr1 Pr 0.655 0.655 0.704
Pr2 Pr 0.345 0.951 0.296
Pr3 Pr 0.049 0.049 0.704
Pr4 Pr 0.951 0.345 0.296
I1 I 0.500 0.000 0.000
I2 I 0.656 0.656 0.313
I3 I 0.000 0.500 0.000
I4 I 0.344 0.344 0.687
Ge1 Ge 0.000 0.000 0.000
```

Calculated values
formation energy from raw total energies	-0.71	eV per atom
magnetization	0.00	μB per cell
calculated density	5337	kg/m³

---

(6)
First-principles (PBE) data for a relaxed structure of PrGeI5, as listed in the Alexandria database.

Cell and atoms, written as CIF:
```
data_PrGeI5
_symmetry_space_group_name_H-M 'P 1'
_symmetry_Int_Tables_number 1
_cell_length_a 4.486
_cell_length_b 9.111
_cell_length_c 15.361
_cell_angle_alpha 95.67
_cell_angle_beta 90.00
_cell_angle_gamma 90.00
loop_
_symmetry_equiv_pos_as_xyz
'x,y,z'
loop_
_atom_site_label
_atom_site_type_symbol
_atom_site_fract_x
_atom_site_fract_y
_atom_site_fract_z
I1 I 0.750 0.131 0.931
I2 I 0.750 0.606 0.289
I3 I 0.750 0.314 0.489
I4 I 0.750 0.939 0.692
I5 I 0.250 0.869 0.069
I6 I 0.250 0.336 0.127
I7 I 0.250 0.686 0.511
I8 I 0.250 0.394 0.711
I9 I 0.750 0.664 0.873
I10 I 0.250 0.061 0.308
Ge1 Ge 0.250 0.890 0.888
Ge2 Ge 0.750 0.110 0.112
Pr1 Pr 0.250 0.395 0.350
Pr2 Pr 0.750 0.605 0.650
```

Calculated values
formation energy from raw total energies	-0.89	eV per atom
magnetization	0.00	μB per cell
calculated density	4508	kg/m³

---

(7)
First-principles (PBE) data for a relaxed structure of Pr2GeI, as listed in the Alexandria database.

Cell and atoms, written as CIF:
```
data_Pr2GeI
_symmetry_space_group_name_H-M 'P 1'
_symmetry_Int_Tables_number 1
_cell_length_a 4.342
_cell_length_b 4.342
_cell_length_c 8.330
_cell_angle_alpha 74.89
_cell_angle_beta 74.89
_cell_angle_gamma 60.00
loop_
_symmetry_equiv_pos_as_xyz
'x,y,z'
loop_
_atom_site_label
_atom_site_type_symbol
_atom_site_fract_x
_atom_site_fract_y
_atom_site_fract_z
I1 I 0.499 0.499 0.504
Ge1 Ge 0.668 0.668 0.996
Pr1 Pr 0.267 0.267 0.199
Pr2 Pr 0.067 0.067 0.800
```

Calculated values
formation energy from raw total energies	-1.02	eV per atom
magnetization	0.00	μB per cell
energy relative to the lowest polymorph listed for this composition	18	meV per atom
calculated density	6161	kg/m³

---

(8)
First-principles (PBE) data for a relaxed structure of Pr7GeI12, as listed in the Alexandria database.

Cell and atoms, written as CIF:
```
data_Pr7GeI12
_symmetry_space_group_name_H-M 'P 1'
_symmetry_Int_Tables_number 1
_cell_length_a 10.062
_cell_length_b 10.062
_cell_length_c 10.062
_cell_angle_alpha 107.91
_cell_angle_beta 107.91
_cell_angle_gamma 107.91
loop_
_symmetry_equiv_pos_as_xyz
'x,y,z'
loop_
_atom_site_label
_atom_site_type_symbol
_atom_site_fract_x
_atom_site_fract_y
_atom_site_fract_z
Pr1 Pr 0.106 0.035 0.317
Pr2 Pr 0.317 0.106 0.035
Pr3 Pr 0.894 0.965 0.683
Pr4 Pr 0.500 0.500 0.500
Pr5 Pr 0.683 0.894 0.965
Pr6 Pr 0.035 0.317 0.106
Pr7 Pr 0.965 0.683 0.894
I1 I 0.769 0.921 0.311
I2 I 0.231 0.079 0.689
I3 I 0.154 0.391 0.471
I4 I 0.311 0.769 0.921
I5 I 0.079 0.689 0.231
I6 I 0.391 0.471 0.154
I7 I 0.471 0.154 0.391
I8 I 0.689 0.231 0.079
I9 I 0.846 0.609 0.529
I10 I 0.609 0.529 0.846
I11 I 0.529 0.846 0.609
I12 I 0.921 0.311 0.769
Ge1 Ge 0.000 0.000 0.000
```

Calculated values
formation energy from raw total energies	-1.33	eV per atom
magnetization	0.00	μB per cell
calculated density	5188	kg/m³